(1)
Here is crystalline ZnTe2 at its relaxed geometry from Alexandria via LeMat-Bulk. Energies are from GGA-PBE.

Unit cell a=10.6575 b=5.6534 c=5.2964 alpha=90.00 beta=90.00 gamma=90.00
Space group Cmcm (No. 63)
One atom of each set of equivalent atoms:
Zn  0.0000  0.2493  0.2500 x4
Te  0.1332  0.2502  0.7500 x8

Electronic total energy in eV per cell: -28.2
Mass density in g/cm3: 6.7
Size of the total moment in μB per formula unit: 0.00
Formation energy (no corrections) in eV per atom: 0.169
Density of states at the Fermi level in states/eV per atom: 0.419


(2)
Here is crystalline Ba2AcPt at its relaxed geometry from Alexandria via LeMat-Bulk. Energies are from GGA-PBE.

Unit cell a=3.9512 b=3.9512 c=10.4718 alpha=90.00 beta=90.00 gamma=90.00
Space group P4/mmm (No. 123)
One atom of each set of equivalent atoms:
Ba  0.0000  0.0000  0.1741 x2
Ac  0.5000  0.5000  0.5000 x1
Pt  0.5000  0.5000  0.0000 x1

Electronic total energy in eV per cell: -15.1
DFT formation energy in eV per atom: -0.288
Mass density in g/cm3: 7.1
Distance to the lowest polymorph of the same formula in meV per atom: 302.8
Size of the total moment in μB per formula unit: 0.00
Density of states at the Fermi level in states/eV per atom: 1.048


(3)
Here is crystalline RbLiPbCl4 at its relaxed geometry from Alexandria via LeMat-Bulk. Energies are from GGA-PBE.

Unit cell a=6.9062 b=7.1130 c=8.9972 alpha=90.00 beta=108.71 gamma=90.00
Space group P2_1/m (No. 11)
One atom of each set of equivalent atoms:
Rb  0.2332  0.2500  0.4387 x2
Li  0.2680  0.7500  0.1799 x2
Pb  0.2790  0.2500  0.9522 x2
Cl  0.0504  0.7500  0.9222 x2
Cl  0.0635  0.7500  0.3412 x2
Cl  0.4979  0.9999  0.7821 x4

Electronic total energy in eV per cell: -49.9
Mass density in g/cm3: 3.5
Size of the total moment in μB per formula unit: 0.00
Formation energy (no corrections) in eV per atom: -1.569
Density of states at the Fermi level in states/eV per atom: 0.000


(4)
Here is crystalline DyUIn2O8 at its relaxed geometry from Alexandria via LeMat-Bulk. Energies are from GGA-PBE.

Unit cell a=7.0686 b=7.1017 c=6.8764 alpha=90.00 beta=90.00 gamma=90.00
Space group Cmmm (No. 65)
One atom of each set of equivalent atoms:
Dy  0.0000  0.0000  0.0000 x2
U  0.0000  0.0000  0.5000 x2
In  0.0000  0.5000  0.2515 x4
O  0.0000  0.1883  0.2701 x8
O  0.1856  0.5000  0.0000 x4
O  0.1992  0.5000  0.5000 x4

Electronic total energy in eV per cell: -178.3
Mass density in g/cm3: 7.3
Size of the total moment in μB per formula unit: 0.85
Formation energy (no corrections) in eV per atom: -2.341
Density of states at the Fermi level in states/eV per atom: 0.705


(5)
Here is crystalline KBa3Sr12 at its relaxed geometry from Alexandria via LeMat-Bulk. Energies are from GGA-PBE.

Unit cell a=6.1268 b=6.1268 c=24.5215 alpha=90.00 beta=90.00 gamma=90.00
Space group P4/mmm (No. 123)
One atom of each set of equivalent atoms:
K  0.0000  0.0000  0.0000 x1
Ba  0.0000  0.0000  0.2517 x2
Ba  0.0000  0.0000  0.5000 x1
Sr  0.0000  0.5000  0.1264 x4
Sr  0.0000  0.5000  0.3756 x4
Sr  0.5000  0.5000  0.0000 x1
Sr  0.5000  0.5000  0.2503 x2
Sr  0.5000  0.5000  0.5000 x1

Electronic total energy in eV per cell: -26.6
DFT formation energy in eV per atom: 0.025
Mass density in g/cm3: 2.7
Size of the total moment in μB per formula unit: 0.00
Density of states at the Fermi level in states/eV per atom: 0.999


(6)
Here is crystalline Ba4SmTe5 at its relaxed geometry from Alexandria via LeMat-Bulk. Energies are from GGA-PBE.

Unit cell a=4.8865 b=4.8865 c=34.5171 alpha=90.00 beta=90.00 gamma=90.00
Space group I4/mmm (No. 139)
One atom of each set of equivalent atoms:
Ba  0.0000  0.0000  0.0978 x4
Ba  0.0000  0.0000  0.3019 x4
Sm  0.0000  0.0000  0.5000 x2
Te  0.0000  0.0000  0.0000 x2
Te  0.0000  0.0000  0.1994 x4
Te  0.0000  0.0000  0.4076 x4

Electronic total energy in eV per cell: -89.2
Mass density in g/cm3: 5.4
Size of the total moment in μB per formula unit: 0.00
Formation energy (no corrections) in eV per atom: -1.647
Density of states at the Fermi level in states/eV per atom: 0.257


(7)
Here is crystalline CsAlAgTe2 at its relaxed geometry from Alexandria via LeMat-Bulk. Energies are from GGA-PBE.

Unit cell a=6.8430 b=15.2075 c=7.3144 alpha=90.00 beta=90.00 gamma=90.00
Space group Cmme (No. 67)
One atom of each set of equivalent atoms:
Cs  0.0000  0.2500  0.2316 x4
Al  0.2500  0.0000  0.5000 x4
Ag  0.0000  0.0000  0.0000 x4
Te  0.0000  0.1048  0.7073 x8

Electronic total energy in eV per cell: -63.0
Mass density in g/cm3: 4.6
Size of the total moment in μB per formula unit: 0.00
Formation energy (no corrections) in eV per atom: -0.403
Density of states at the Fermi level in states/eV per atom: 0.293


(8)
Here is crystalline NaErInGa at its relaxed geometry from Alexandria via LeMat-Bulk. Energies are from GGA-PBE.

Unit cell a=7.2588 b=7.2588 c=7.2588 alpha=90.00 beta=90.00 gamma=90.00
Space group F-43m (No. 216)
One atom of each set of equivalent atoms:
Na  0.0000  0.0000  0.0000 x4
Er  0.0000  0.0000  0.5000 x4
In  0.2500  0.2500  0.2500 x4
Ga  0.2500  0.2500  0.7500 x4

Electronic total energy in eV per cell: -50.6
DFT formation energy in eV per atom: -0.248
Mass density in g/cm3: 6.5
Size of the total moment in μB per formula unit: 0.00
Density of states at the Fermi level in states/eV per atom: 0.350